[1]
# CdFe2Os, optimized geometry, DFT PBE
# Energy relative to the elements = 1.65 eV/f.u.
# E above lowest polymorph = 3.26 kcal/mol of atoms
# Space-group type = Pm (6)
data_CdFe2Os
_chemical_formula_sum 'Cd1 Fe2 Os1'
_cell_length_a 4.190
_cell_length_b 2.669
_cell_length_c 5.337
_cell_angle_alpha 76.44
_cell_angle_beta 90.00
_cell_angle_gamma 90.00
_symmetry_space_group_name_H-M 'P 1'
_symmetry_Int_Tables_number 1
loop_
_symmetry_equiv_pos_as_xyz
'x,y,z'
loop_
_atom_site_label
_atom_site_fract_x
_atom_site_fract_y
_atom_site_fract_z
Cd1 0.500 0.767 0.767
Fe1 0.000 0.076 0.019
Fe2 0.500 0.185 0.257
Os1 0.000 0.471 0.457


[2]
# CdFeOs2, optimized geometry, DFT PBE
# Energy relative to the elements = 2.67 eV/f.u.
# E above lowest polymorph = 8.42 kcal/mol of atoms
# Space-group type = Pmmm (47)
data_CdFeOs2
_chemical_formula_sum 'Cd1 Fe1 Os2'
_cell_length_a 2.816
_cell_length_b 4.632
_cell_length_c 4.669
_cell_angle_alpha 90.00
_cell_angle_beta 90.00
_cell_angle_gamma 90.00
_symmetry_space_group_name_H-M 'P 1'
_symmetry_Int_Tables_number 1
loop_
_symmetry_equiv_pos_as_xyz
'x,y,z'
loop_
_atom_site_label
_atom_site_fract_x
_atom_site_fract_y
_atom_site_fract_z
Cd1 0.500 0.000 0.500
Fe1 0.000 0.500 0.500
Os1 0.000 0.000 0.000
Os2 0.500 0.500 0.000


[3]
# CdFe2Os, optimized geometry, DFT PBE
# Energy relative to the elements = 2.08 eV/f.u.
# E above lowest polymorph = 5.75 kcal/mol of atoms
# Space-group type = Immm (71)
data_CdFe2Os
_chemical_formula_sum 'Cd1 Fe2 Os1'
_cell_length_a 5.107
_cell_length_b 5.107
_cell_length_c 5.107
_cell_angle_alpha 145.00
_cell_angle_beta 127.93
_cell_angle_gamma 64.29
_symmetry_space_group_name_H-M 'P 1'
_symmetry_Int_Tables_number 1
loop_
_symmetry_equiv_pos_as_xyz
'x,y,z'
loop_
_atom_site_label
_atom_site_fract_x
_atom_site_fract_y
_atom_site_fract_z
Cd1 0.750 0.250 0.500
Fe1 0.015 0.015 0.000
Fe2 0.485 0.485 0.000
Os1 0.250 0.750 0.500


[4]
# CdFeOs2, optimized geometry, DFT PBE
# Energy relative to the elements = 1.84 eV/f.u.
# E above lowest polymorph = 3.62 kcal/mol of atoms
# Space-group type = P4/mmm (123)
data_CdFeOs2
_chemical_formula_sum 'Cd1 Fe1 Os2'
_cell_length_a 2.756
_cell_length_b 2.756
_cell_length_c 7.814
_cell_angle_alpha 90.00
_cell_angle_beta 90.00
_cell_angle_gamma 90.00
_symmetry_space_group_name_H-M 'P 1'
_symmetry_Int_Tables_number 1
loop_
_symmetry_equiv_pos_as_xyz
'x,y,z'
loop_
_atom_site_label
_atom_site_fract_x
_atom_site_fract_y
_atom_site_fract_z
Cd1 0.500 0.500 0.250
Fe1 0.500 0.500 0.750
Os1 0.000 0.000 0.962
Os2 0.000 0.000 0.538


[5]
# CdFe3Os, optimized geometry, DFT PBE
# Energy relative to the elements = 6.55 eV/f.u.
# E above lowest polymorph = 0.00 kcal/mol of atoms
# Space-group type = Pm-3m (221)
data_CdFe3Os
_chemical_formula_sum 'Cd1 Fe3 Os1'
_cell_length_a 4.585
_cell_length_b 4.585
_cell_length_c 4.585
_cell_angle_alpha 90.00
_cell_angle_beta 90.00
_cell_angle_gamma 90.00
_symmetry_space_group_name_H-M 'P 1'
_symmetry_Int_Tables_number 1
loop_
_symmetry_equiv_pos_as_xyz
'x,y,z'
loop_
_atom_site_label
_atom_site_fract_x
_atom_site_fract_y
_atom_site_fract_z
Os1 0.000 0.000 0.000
Fe1 0.000 0.500 0.000
Fe2 0.000 0.000 0.500
Fe3 0.500 0.000 0.000
Cd1 0.500 0.500 0.500


[6]
# CdFe2Os, optimized geometry, DFT PBE
# Energy relative to the elements = 2.00 eV/f.u.
# E above lowest polymorph = 5.25 kcal/mol of atoms
# Space-group type = P2/m (10)
data_CdFe2Os
_chemical_formula_sum 'Cd1 Fe2 Os1'
_cell_length_a 2.658
_cell_length_b 4.966
_cell_length_c 5.414
_cell_angle_alpha 54.81
_cell_angle_beta 90.00
_cell_angle_gamma 90.00
_symmetry_space_group_name_H-M 'P 1'
_symmetry_Int_Tables_number 1
loop_
_symmetry_equiv_pos_as_xyz
'x,y,z'
loop_
_atom_site_label
_atom_site_fract_x
_atom_site_fract_y
_atom_site_fract_z
Cd1 0.000 0.000 0.500
Fe1 0.000 0.000 0.000
Fe2 0.500 0.500 0.000
Os1 0.500 0.500 0.500


[7]
# CdFe2Os, optimized geometry, DFT PBE
# Energy relative to the elements = 1.90 eV/f.u.
# E above lowest polymorph = 4.71 kcal/mol of atoms
# Space-group type = C2/m (12)
data_CdFe2Os
_chemical_formula_sum 'Cd1 Fe2 Os1'
_cell_length_a 4.615
_cell_length_b 4.615
_cell_length_c 4.938
_cell_angle_alpha 81.39
_cell_angle_beta 81.39
_cell_angle_gamma 34.64
_symmetry_space_group_name_H-M 'P 1'
_symmetry_Int_Tables_number 1
loop_
_symmetry_equiv_pos_as_xyz
'x,y,z'
loop_
_atom_site_label
_atom_site_fract_x
_atom_site_fract_y
_atom_site_fract_z
Cd1 0.750 0.750 0.750
Fe1 0.992 0.992 0.051
Fe2 0.508 0.508 0.449
Os1 0.250 0.250 0.250


[8]
# CdFeOs2, optimized geometry, DFT PBE
# Energy relative to the elements = 2.07 eV/f.u.
# E above lowest polymorph = 4.93 kcal/mol of atoms
# Space-group type = Cmmm (65)
data_CdFeOs2
_chemical_formula_sum 'Cd1 Fe1 Os2'
_cell_length_a 2.720
_cell_length_b 2.720
_cell_length_c 9.300
_cell_angle_alpha 90.00
_cell_angle_beta 90.00
_cell_angle_gamma 117.26
_symmetry_space_group_name_H-M 'P 1'
_symmetry_Int_Tables_number 1
loop_
_symmetry_equiv_pos_as_xyz
'x,y,z'
loop_
_atom_site_label
_atom_site_fract_x
_atom_site_fract_y
_atom_site_fract_z
Cd1 0.500 0.500 0.250
Fe1 0.500 0.500 0.750
Os1 0.000 0.000 0.975
Os2 0.000 0.000 0.525


[9]
# CdFeOs2, optimized geometry, DFT PBE
# Energy relative to the elements = 1.44 eV/f.u.
# E above lowest polymorph = 1.33 kcal/mol of atoms
# Space-group type = R-3m (166)
data_CdFeOs2
_chemical_formula_sum 'Cd1 Fe1 Os2'
_cell_length_a 9.217
_cell_length_b 9.217
_cell_length_c 9.217
_cell_angle_alpha 17.20
_cell_angle_beta 17.20
_cell_angle_gamma 17.20
_symmetry_space_group_name_H-M 'P 1'
_symmetry_Int_Tables_number 1
loop_
_symmetry_equiv_pos_as_xyz
'x,y,z'
loop_
_atom_site_label
_atom_site_fract_x
_atom_site_fract_y
_atom_site_fract_z
Cd1 0.250 0.250 0.250
Fe1 0.750 0.750 0.750
Os1 0.009 0.009 0.009
Os2 0.491 0.491 0.491


[10]
# CdFe2Os, optimized geometry, DFT PBE
# Energy relative to the elements = 1.54 eV/f.u.
# E above lowest polymorph = 2.64 kcal/mol of atoms
# Space-group type = Cm (8)
data_CdFe2Os
_chemical_formula_sum 'Cd1 Fe2 Os1'
_cell_length_a 4.733
_cell_length_b 4.733
_cell_length_c 4.724
_cell_angle_alpha 77.43
_cell_angle_beta 77.43
_cell_angle_gamma 33.56
_symmetry_space_group_name_H-M 'P 1'
_symmetry_Int_Tables_number 1
loop_
_symmetry_equiv_pos_as_xyz
'x,y,z'
loop_
_atom_site_label
_atom_site_fract_x
_atom_site_fract_y
_atom_site_fract_z
Cd1 0.747 0.747 0.767
Fe1 0.985 0.985 0.018
Fe2 0.254 0.254 0.262
Os1 0.515 0.515 0.454


[11]
# CdFeOs2, optimized geometry, DFT PBE
# Energy relative to the elements = 1.70 eV/f.u.
# E above lowest polymorph = 2.81 kcal/mol of atoms
# Space-group type = C2/m (12)
data_CdFeOs2
_chemical_formula_sum 'Cd1 Fe1 Os2'
_cell_length_a 5.066
_cell_length_b 5.066
_cell_length_c 4.638
_cell_angle_alpha 74.56
_cell_angle_beta 74.56
_cell_angle_gamma 31.74
_symmetry_space_group_name_H-M 'P 1'
_symmetry_Int_Tables_number 1
loop_
_symmetry_equiv_pos_as_xyz
'x,y,z'
loop_
_atom_site_label
_atom_site_fract_x
_atom_site_fract_y
_atom_site_fract_z
Cd1 0.750 0.750 0.750
Fe1 0.250 0.250 0.250
Os1 0.973 0.973 0.032
Os2 0.527 0.527 0.468


[12]
# CdFe2Os, optimized geometry, DFT PBE
# Energy relative to the elements = 1.39 eV/f.u.
# E above lowest polymorph = 1.77 kcal/mol of atoms
# Space-group type = P4/mmm (123)
data_CdFe2Os
_chemical_formula_sum 'Cd1 Fe2 Os1'
_cell_length_a 3.080
_cell_length_b 3.080
_cell_length_c 6.153
_cell_angle_alpha 90.00
_cell_angle_beta 90.00
_cell_angle_gamma 90.00
_symmetry_space_group_name_H-M 'P 1'
_symmetry_Int_Tables_number 1
loop_
_symmetry_equiv_pos_as_xyz
'x,y,z'
loop_
_atom_site_label
_atom_site_fract_x
_atom_site_fract_y
_atom_site_fract_z
Cd1 0.500 0.500 0.750
Fe1 0.000 0.000 0.039
Fe2 0.000 0.000 0.461
Os1 0.500 0.500 0.250


[13]
# CdFe2Os, optimized geometry, DFT PBE
# Energy relative to the elements = 1.76 eV/f.u.
# E above lowest polymorph = 3.90 kcal/mol of atoms
# Space-group type = P4/mmm (123)
data_CdFe2Os
_chemical_formula_sum 'Cd1 Fe2 Os1'
_cell_length_a 3.064
_cell_length_b 4.345
_cell_length_c 4.345
_cell_angle_alpha 90.00
_cell_angle_beta 90.00
_cell_angle_gamma 90.00
_symmetry_space_group_name_H-M 'P 1'
_symmetry_Int_Tables_number 1
loop_
_symmetry_equiv_pos_as_xyz
'x,y,z'
loop_
_atom_site_label
_atom_site_fract_x
_atom_site_fract_y
_atom_site_fract_z
Cd1 0.500 0.000 0.500
Fe1 0.000 0.000 0.000
Fe2 0.000 0.500 0.500
Os1 0.500 0.500 0.000


[14]
# CdFe2Os, optimized geometry, DFT PBE
# Energy relative to the elements = 1.31 eV/f.u.
# E above lowest polymorph = 1.28 kcal/mol of atoms
# Space-group type = R-3m (166)
data_CdFe2Os
_chemical_formula_sum 'Cd1 Fe2 Os1'
_cell_length_a 9.109
_cell_length_b 9.109
_cell_length_c 9.109
_cell_angle_alpha 17.26
_cell_angle_beta 17.26
_cell_angle_gamma 17.26
_symmetry_space_group_name_H-M 'P 1'
_symmetry_Int_Tables_number 1
loop_
_symmetry_equiv_pos_as_xyz
'x,y,z'
loop_
_atom_site_label
_atom_site_fract_x
_atom_site_fract_y
_atom_site_fract_z
Cd1 0.750 0.750 0.750
Fe1 0.994 0.994 0.994
Fe2 0.506 0.506 0.506
Os1 0.250 0.250 0.250


[15]
# CdFeOs2, optimized geometry, DFT PBE
# Energy relative to the elements = 1.58 eV/f.u.
# E above lowest polymorph = 2.13 kcal/mol of atoms
# Space-group type = Pmm2 (25)
data_CdFeOs2
_chemical_formula_sum 'Cd1 Fe1 Os2'
_cell_length_a 3.828
_cell_length_b 2.786
_cell_length_c 6.393
_cell_angle_alpha 64.17
_cell_angle_beta 90.00
_cell_angle_gamma 90.00
_symmetry_space_group_name_H-M 'P 1'
_symmetry_Int_Tables_number 1
loop_
_symmetry_equiv_pos_as_xyz
'x,y,z'
loop_
_atom_site_label
_atom_site_fract_x
_atom_site_fract_y
_atom_site_fract_z
Cd1 0.000 0.488 0.512
Fe1 0.500 0.729 0.771
Os1 0.000 0.989 0.011
Os2 0.500 0.293 0.206


[16]
# CdFeOs2, optimized geometry, DFT PBE
# Energy relative to the elements = 2.90 eV/f.u.
# E above lowest polymorph = 9.75 kcal/mol of atoms
# Space-group type = Cmmm (65)
data_CdFeOs2
_chemical_formula_sum 'Cd1 Fe1 Os2'
_cell_length_a 4.891
_cell_length_b 4.891
_cell_length_c 2.737
_cell_angle_alpha 90.00
_cell_angle_beta 90.00
_cell_angle_gamma 113.06
_symmetry_space_group_name_H-M 'P 1'
_symmetry_Int_Tables_number 1
loop_
_symmetry_equiv_pos_as_xyz
'x,y,z'
loop_
_atom_site_label
_atom_site_fract_x
_atom_site_fract_y
_atom_site_fract_z
Cd1 0.500 0.000 0.500
Fe1 0.000 0.500 0.500
Os1 0.000 0.000 0.000
Os2 0.500 0.500 0.000


[17]
# CdFeOs2, optimized geometry, DFT PBE
# Energy relative to the elements = 2.65 eV/f.u.
# E above lowest polymorph = 8.33 kcal/mol of atoms
# Space-group type = I4/mmm (139)
data_CdFeOs2
_chemical_formula_sum 'Cd1 Fe1 Os2'
_cell_length_a 4.862
_cell_length_b 4.862
_cell_length_c 4.862
_cell_angle_alpha 133.35
_cell_angle_beta 133.35
_cell_angle_gamma 68.10
_symmetry_space_group_name_H-M 'P 1'
_symmetry_Int_Tables_number 1
loop_
_symmetry_equiv_pos_as_xyz
'x,y,z'
loop_
_atom_site_label
_atom_site_fract_x
_atom_site_fract_y
_atom_site_fract_z
Cd1 0.250 0.750 0.500
Fe1 0.750 0.250 0.500
Os1 0.000 0.000 0.000
Os2 0.500 0.500 0.000


[18]
# CdFe2Os, optimized geometry, DFT PBE
# Energy relative to the elements = 1.94 eV/f.u.
# E above lowest polymorph = 4.90 kcal/mol of atoms
# Space-group type = I4/mmm (139)
data_CdFe2Os
_chemical_formula_sum 'Cd1 Fe2 Os1'
_cell_length_a 4.519
_cell_length_b 4.519
_cell_length_c 4.519
_cell_angle_alpha 126.26
_cell_angle_beta 126.26
_cell_angle_gamma 79.46
_symmetry_space_group_name_H-M 'P 1'
_symmetry_Int_Tables_number 1
loop_
_symmetry_equiv_pos_as_xyz
'x,y,z'
loop_
_atom_site_label
_atom_site_fract_x
_atom_site_fract_y
_atom_site_fract_z
Cd1 0.750 0.250 0.500
Fe1 0.000 0.000 0.000
Fe2 0.500 0.500 0.000
Os1 0.250 0.750 0.500


[19]
# CdFe2Os, optimized geometry, DFT PBE
# Energy relative to the elements = 2.83 eV/f.u.
# E above lowest polymorph = 10.05 kcal/mol of atoms
# Space-group type = Fm-3m (225)
data_CdFe2Os
_chemical_formula_sum 'Cd1 Fe2 Os1'
_cell_length_a 4.252
_cell_length_b 4.252
_cell_length_c 4.252
_cell_angle_alpha 60.00
_cell_angle_beta 60.00
_cell_angle_gamma 60.00
_symmetry_space_group_name_H-M 'P 1'
_symmetry_Int_Tables_number 1
loop_
_symmetry_equiv_pos_as_xyz
'x,y,z'
loop_
_atom_site_label
_atom_site_fract_x
_atom_site_fract_y
_atom_site_fract_z
Os1 0.500 0.500 0.500
Fe1 0.250 0.250 0.250
Fe2 0.750 0.750 0.750
Cd1 0.000 0.000 0.000


[20]
# CdFe2Os, optimized geometry, DFT PBE
# Energy relative to the elements = 3.80 eV/f.u.
# E above lowest polymorph = 15.65 kcal/mol of atoms
# Space-group type = I-42d (122)
data_CdFe2Os
_chemical_formula_sum 'Cd2 Fe4 Os2'
_cell_length_a 6.827
_cell_length_b 6.827
_cell_length_c 5.529
_cell_angle_alpha 51.88
_cell_angle_beta 51.88
_cell_angle_gamma 90.00
_symmetry_space_group_name_H-M 'P 1'
_symmetry_Int_Tables_number 1
loop_
_symmetry_equiv_pos_as_xyz
'x,y,z'
loop_
_atom_site_label
_atom_site_fract_x
_atom_site_fract_y
_atom_site_fract_z
Os1 0.000 0.000 0.000
Os2 0.750 0.250 0.500
Fe1 0.678 0.125 0.250
Fe2 0.072 0.625 0.250
Fe3 0.375 0.322 0.750
Fe4 0.875 0.928 0.750
Cd1 0.500 0.500 0.000
Cd2 0.250 0.750 0.500